No. 1
Compound: Zn2NiF6
Source: Alexandria
Functional: PBE with a Hubbard U
Structure: relaxed

VASP energy   -71.9 eV/cell
Total magnetic moment   1.994 μB/f.u.
D(E_F)   0.0 states/eV per cell

Cell and atoms, written as CIF:
```
data_Zn2NiF6
_chemical_formula_sum 'Zn4 Ni2 F12'
_space_group_name_H-M_alt 'C 1 2/m 1'
_space_group_IT_number 12
_cell_length_a 10.391
_cell_length_b 3.681
_cell_length_c 6.661
_cell_angle_alpha 90.00
_cell_angle_beta 116.44
_cell_angle_gamma 90.00
loop_
_space_group_symop_operation_xyz
'x,y,z'
'-x,-y,-z'
'-x,y,-z'
'x,-y,z'
'x+1/2,y+1/2,z'
'-x+1/2,-y+1/2,-z'
'-x+1/2,y+1/2,-z'
'x+1/2,-y+1/2,z'
loop_
_atom_site_label
_atom_site_fract_x
_atom_site_fract_y
_atom_site_fract_z
Zn1 0.176 0.000 0.140
Ni1 0.000 0.000 0.500
F1 0.008 0.000 0.210
F2 0.134 0.500 0.581
F3 0.202 0.500 0.083
```

No. 2
Compound: Zr2NiF
Source: Alexandria
Functional: PBE with a Hubbard U
Structure: relaxed

Polymorph energy (0 for the lowest one)   0.24 kcal/mol of atoms
Total magnetic moment   0.000 μB/f.u.
D(E_F)   21.7 states/eV per cell

Cell and atoms, written as CIF:
```
data_Zr2NiF
_chemical_formula_sum 'Zr8 Ni4 F4'
_space_group_name_H-M_alt 'F m -3 m'
_space_group_IT_number 225
_space_group_name_Hall '-F 4 2 3'
_cell_length_a 6.328
_cell_length_b 6.328
_cell_length_c 6.328
_cell_angle_alpha 90.00
_cell_angle_beta 90.00
_cell_angle_gamma 90.00
loop_
_atom_site_label
_atom_site_fract_x
_atom_site_fract_y
_atom_site_fract_z
Zr1 0.250 0.250 0.250
Ni1 0.000 0.000 0.000
F1 0.000 0.000 0.500
```

No. 3
Compound: ZrNi2F
Source: Alexandria
Functional: PBE with a Hubbard U
Structure: relaxed

Polymorph energy (0 for the lowest one)   10.33 kcal/mol of atoms
Total magnetic moment   0.811 μB/f.u.
D(E_F)   10.3 states/eV per cell

Cell and atoms, written as CIF:
```
data_ZrNi2F
_chemical_formula_sum 'Zr4 Ni8 F4'
_space_group_name_H-M_alt 'F m -3 m'
_space_group_IT_number 225
_space_group_name_Hall '-F 4 2 3'
_cell_length_a 6.026
_cell_length_b 6.026
_cell_length_c 6.026
_cell_angle_alpha 90.00
_cell_angle_beta 90.00
_cell_angle_gamma 90.00
loop_
_atom_site_label
_atom_site_fract_x
_atom_site_fract_y
_atom_site_fract_z
Zr1 0.000 0.000 0.000
Ni1 0.250 0.250 0.250
F1 0.000 0.000 0.500
```

No. 4
Compound: Zr2NiF11
Source: Alexandria
Functional: PBE with a Hubbard U
Structure: relaxed

VASP energy   -329.0 eV/cell
Total magnetic moment   3.089 μB/f.u.

Cell and atoms, written as CIF:
```
data_Zr2NiF11
_chemical_formula_sum 'Zr8 Ni4 F44'
_space_group_name_H-M_alt 'I b a m'
_space_group_IT_number 72
_space_group_name_Hall '-I 2 2c'
_cell_length_a 8.076
_cell_length_b 9.796
_cell_length_c 10.214
_cell_angle_alpha 90.00
_cell_angle_beta 90.00
_cell_angle_gamma 90.00
loop_
_atom_site_label
_atom_site_fract_x
_atom_site_fract_y
_atom_site_fract_z
Zr1 0.115 0.193 0.000
Ni1 0.000 0.500 0.250
F1 0.000 0.000 0.000
F2 0.081 0.376 0.131
F3 0.141 0.223 0.500
F4 0.208 0.113 0.159
```

No. 5
Compound: Zr2NiF
Source: Alexandria
Functional: PBE with a Hubbard U
Structure: relaxed

Polymorph energy (0 for the lowest one)   0.00 kcal/mol of atoms
Total magnetic moment   0.000 μB/f.u.
D(E_F)   12.0 states/eV per cell

Cell and atoms, written as CIF:
```
data_Zr2NiF
_chemical_formula_sum 'Zr8 Ni4 F4'
_space_group_name_H-M_alt 'I -4 2 d'
_space_group_IT_number 122
_space_group_name_Hall 'I -4 2bw'
_cell_length_a 4.982
_cell_length_b 4.982
_cell_length_c 12.127
_cell_angle_alpha 90.00
_cell_angle_beta 90.00
_cell_angle_gamma 90.00
loop_
_atom_site_label
_atom_site_fract_x
_atom_site_fract_y
_atom_site_fract_z
Zr1 0.220 0.250 0.125
Ni1 0.000 0.000 0.500
F1 0.000 0.000 0.000
```

No. 6
Compound: Zr2Ni2F
Source: Alexandria
Functional: PBE with a Hubbard U
Structure: relaxed

Polymorph energy (0 for the lowest one)   6.82 kcal/mol of atoms
Total magnetic moment   0.000 μB/f.u.
D(E_F)   11.9 states/eV per cell

Cell and atoms, written as CIF:
```
data_Zr2Ni2F
_chemical_formula_sum 'Zr4 Ni4 F2'
_space_group_name_H-M_alt 'I 4/m m m'
_space_group_IT_number 139
_space_group_name_Hall '-I 4 2'
_cell_length_a 4.681
_cell_length_b 4.681
_cell_length_c 7.935
_cell_angle_alpha 90.00
_cell_angle_beta 90.00
_cell_angle_gamma 90.00
loop_
_atom_site_label
_atom_site_fract_x
_atom_site_fract_y
_atom_site_fract_z
Zr1 0.000 0.500 0.250
Ni1 0.000 0.000 0.134
F1 0.000 0.000 0.500
```